# 1
A plane-wave DFT calculation with GGA-PBE was carried out for a relaxed structure of MnAlCdRu2.

Calculated values
Space-group type: P4/mmm, No. 123
Formation energy from the elements, meV per atom: 1029
Final energy, eV per atom: -5.447

Structure (extended XYZ):
```
5
Lattice="4.384 0.000 0.000 0.000 4.384 0.000 0.000 0.000 4.840" Properties=species:S:1:pos:R:3 pbc="T T T"
Mn 0.000 0.000 0.000
Al 2.192 2.192 2.420
Cd 0.000 0.000 2.420
Ru 0.000 2.192 0.000
Ru 2.192 0.000 0.000
```



# 2
A plane-wave DFT calculation with GGA-PBE was carried out for a relaxed structure of ScMnAl2Cd.

Calculated values
Space-group type: P4/mmm, No. 123
Formation energy from the elements, meV per atom: 206
Final energy, eV per atom: -4.574

Structure (extended XYZ):
```
5
Lattice="4.516 0.000 0.000 0.000 4.516 0.000 0.000 0.000 4.913" Properties=species:S:1:pos:R:3 pbc="T T T"
Sc 0.000 0.000 0.000
Mn 2.258 2.258 2.456
Al 0.000 2.258 2.456
Al 2.258 0.000 2.456
Cd 2.258 2.258 0.000
```



# 3
A plane-wave DFT calculation with GGA-PBE was carried out for a relaxed structure of AlCd2Mo2.

Calculated values
Energy above the lowest structure with this stoichiometry, kJ per mole of atoms: 3.3
Space-group type: P4/mbm, No. 127
Formation energy from the elements, meV per atom: 680
Final energy, eV per atom: -4.767

Structure (extended XYZ):
```
10
Lattice="8.310 0.000 0.000 0.000 8.310 0.000 0.000 0.000 2.912" Properties=species:S:1:pos:R:3 pbc="T T T"
Al 0.000 0.000 0.000
Al 4.155 4.155 0.000
Cd 1.601 2.554 0.000
Cd 2.554 6.709 0.000
Cd 5.755 1.601 0.000
Cd 6.709 5.755 0.000
Mo 0.814 4.969 1.456
Mo 3.341 0.814 1.456
Mo 4.969 7.496 1.456
Mo 7.496 3.341 1.456
```



# 4
A plane-wave DFT calculation with GGA-PBE was carried out for a relaxed structure of AlCd2Mo.

Calculated values
Space-group type: P4mm, No. 99
Formation energy from the elements, meV per atom: 256
Final energy, eV per atom: -3.845

Structure (extended XYZ):
```
4
Lattice="3.304 0.000 0.000 0.000 3.304 0.000 0.000 0.000 6.862" Properties=species:S:1:pos:R:3 pbc="T T T"
Al 0.000 0.000 0.000
Cd 0.000 0.000 3.880
Cd 1.652 1.652 1.925
Mo 1.652 1.652 5.730
```



# 5
A plane-wave DFT calculation with GGA-PBE was carried out for a relaxed structure of AlCd2Mo.

Calculated values
Space-group type: I4/mmm, No. 139
Formation energy from the elements, meV per atom: 239
Final energy, eV per atom: -3.862

Structure (extended XYZ):
```
8
Lattice="3.889 0.000 0.000 0.000 3.889 0.000 0.000 0.000 9.548" Properties=species:S:1:pos:R:3 pbc="T T T"
Al 0.000 0.000 0.000
Al 1.945 1.945 4.774
Cd 0.000 1.945 2.387
Cd 0.000 1.945 7.161
Cd 1.945 0.000 2.387
Cd 1.945 0.000 7.161
Mo 0.000 0.000 4.774
Mo 1.945 1.945 0.000
```



# 6
A plane-wave DFT calculation with GGA-PBE was carried out for a relaxed structure of AlCd2Mo.

Calculated values
Space-group type: P4mm, No. 99
Formation energy from the elements, meV per atom: 205
Final energy, eV per atom: -3.896

Structure (extended XYZ):
```
4
Lattice="2.866 0.000 0.000 0.000 2.866 0.000 0.000 0.000 9.062" Properties=species:S:1:pos:R:3 pbc="T T T"
Al 0.000 0.000 0.000
Cd 0.000 0.000 4.917
Cd 1.433 1.433 2.353
Mo 1.433 1.433 7.170
```